# 1
ScOs2Au | SCAN | PBEsol geometry

## Properties
The calculation puts the total magnetic moment at 0.0 Bohr magnetons per cell. Its density of states at the Fermi level is 0.615 states/eV/atom. The value obtained for the energy relative to the lowest polymorph listed for this composition is 0.26 eV per formula unit. The calculation puts the formation energy from the elements at 187 meV per atom.

Cell lengths 2.8419, 4.1196, 5.4717 Å; angles 90.00, 90.00, 90.00 degrees
Closest atoms and distances in Å follow each position.
Sites, in units of the cell vectors:
Os: 0.0000 0.0000 0.2225  1 Os 2.43
Au: 0.5000 0.5000 0.5000  2 Sc 2.74, 2 Au 2.84, 8 Os 2.93
Os: 0.0000 0.0000 0.7775  1 Os 2.43
Sc: 0.5000 0.5000 0.0000  2 Au 2.74, 8 Os 2.78, 2 Sc 2.84

# 2
Sr6Mg7H26 | SCAN | PBEsol geometry

## Properties
The total energy is -7.097 eV per atom. The calculation puts the total magnetic moment at 0.0 Bohr magnetons per cell. Its density of states at the Fermi level is 0.000 states/eV/atom.

Cell lengths 5.5836, 9.3931, 9.5480 Å; angles 74.17, 73.00, 72.71 degrees
Closest atoms and distances in Å follow each position.
Sites, in units of the cell vectors:
Mg: 0.7781 0.2328 0.2109  6 H 1.88-2.09
Sr: 0.6592 0.0829 0.5986  7 H 2.47-2.67
H: 0.8494 0.8787 0.4226  1 Mg 1.92
Mg: 0.0143 0.2467 0.7248  6 H 1.89-2.01
H: 0.3697 0.5915 0.6691  2 Mg 1.89-2.09
H: 0.2689 0.3641 0.5857  2 Mg 1.94-2.01
H: 0.9862 0.1425 0.3574  1 Mg 1.94
H: 0.1192 0.5985 0.1631  1 Mg 1.89
Sr: 0.1474 0.3584 0.3468  8 H 2.42-2.67
Sr: 0.3552 0.3830 0.9066  8 H 2.41-2.64
H: 0.1506 0.1213 0.5774  1 Mg 1.92
H: 0.7291 0.1563 0.8213  2 Mg 1.90-1.93
H: 0.5095 0.3733 0.1203  1 Mg 1.92
H: 0.2709 0.8437 0.1787  2 Mg 1.90-1.93
H: 0.0877 0.9015 0.9231  3 Mg 1.88-1.90
Sr: 0.8526 0.6416 0.6532  8 H 2.42-2.67
Mg: 0.2574 0.0000 0.0000  6 H 1.90-1.93
Mg: 0.5000 0.5000 0.5000  6 H 1.89-1.94
H: 0.4031 0.1109 0.0830  2 Mg 1.92
H: 0.0032 0.6267 0.8797  1 Mg 1.92
H: 0.0138 0.8575 0.6426  1 Mg 1.94
H: 0.4905 0.6267 0.8797  1 Mg 1.92
Sr: 0.6448 0.6170 0.0934  8 H 2.41-2.64
H: 0.6303 0.4085 0.3309  2 Mg 1.89-2.09
H: 0.9968 0.3733 0.1203  1 Mg 1.92
H: 0.2934 0.1563 0.8213  2 Mg 1.90-1.93
H: 0.9123 0.0985 0.0769  3 Mg 1.88-1.90
Sr: 0.3408 0.9171 0.4014  7 H 2.47-2.67
H: 0.2187 0.6359 0.4143  2 Mg 1.94-2.01
Mg: 0.9857 0.7533 0.2752  6 H 1.89-2.01
H: 0.5969 0.8891 0.9170  2 Mg 1.92
H: 0.4862 0.8575 0.6426  1 Mg 1.94
Mg: 0.2219 0.7672 0.7891  6 H 1.88-2.09
Mg: 0.7426 0.0000 0.0000  6 H 1.90-1.93
H: 0.7311 0.6359 0.4143  2 Mg 1.94-2.01
H: 0.8808 0.4015 0.8369  1 Mg 1.89
H: 0.7813 0.3641 0.5857  2 Mg 1.94-2.01
H: 0.5138 0.1425 0.3574  1 Mg 1.94
H: 0.7066 0.8437 0.1787  2 Mg 1.90-1.93

# 3
Mg30AlZnO32 | SCAN | PBEsol geometry

## Properties
The calculation puts the total magnetic moment at 0.0 Bohr magnetons per cell. Its density of states at the Fermi level is 0.041 states/eV/atom. As for the uncorrected formation energy: -2.923 eV/atom.

Cell lengths 8.4592, 8.4645, 8.4645 Å; angles 90.00, 90.00, 90.00 degrees
Closest atoms and distances in Å follow each position.
Sites, in units of the cell vectors:
Zn: 0.0000 0.5000 0.5000  6 O 2.17-2.20
O: 0.5000 0.5000 0.7518  6 Mg 2.10-2.13
O: 0.7504 0.7506 0.2494  6 Mg 2.11-2.12
O: 0.0000 0.2332 0.0000  1 Al 1.97, 4 Mg 2.12-2.13
Mg: 0.0000 0.5000 0.0000  6 O 2.03-2.26
O: 0.7645 0.0000 0.0000  1 Al 1.99, 4 Mg 2.13
O: 0.0000 0.5000 0.7597  5 Mg 2.03-2.12, 1 Zn 2.20
O: 0.5000 0.2471 0.0000  6 Mg 2.09-2.14
O: 0.5000 0.0000 0.2471  6 Mg 2.09-2.14
Mg: 0.5000 0.5000 0.0000  6 O 2.10-2.14
O: 0.5000 0.5000 0.2482  6 Mg 2.10-2.13
O: 0.7504 0.2494 0.7506  6 Mg 2.11-2.12
O: 0.0000 0.5000 0.2403  5 Mg 2.03-2.12, 1 Zn 2.20
Mg: 0.2499 0.5000 0.2508  6 O 2.11-2.12
Mg: 0.5000 0.7494 0.7494  6 O 2.11-2.12
Mg: 0.5000 0.7494 0.2506  6 O 2.11-2.12
Mg: 0.5000 0.5000 0.5000  6 O 2.06-2.13
O: 0.0000 0.7597 0.5000  5 Mg 2.03-2.12, 1 Zn 2.20
Mg: 0.2506 0.7491 0.0000  6 O 2.11-2.13
O: 0.5000 0.7518 0.5000  6 Mg 2.10-2.13
Mg: 0.5000 0.0000 0.0000  6 O 2.09-2.24
O: 0.0000 0.0000 0.2332  1 Al 1.97, 4 Mg 2.12-2.13
Mg: 0.0000 0.2513 0.7487  6 O 2.11-2.13
O: 0.2490 0.5000 0.0000  6 Mg 2.11-2.12
Al: 0.0000 0.0000 0.0000  6 O 1.97-1.99
O: 0.5000 0.7529 0.0000  6 Mg 2.09-2.14
Mg: 0.7494 0.7491 0.0000  6 O 2.11-2.13
O: 0.7510 0.0000 0.5000  6 Mg 2.11-2.12
Mg: 0.7494 0.2509 0.0000  6 O 2.11-2.13
O: 0.2496 0.2494 0.2494  6 Mg 2.11-2.12
O: 0.2490 0.0000 0.5000  6 Mg 2.11-2.12
Mg: 0.7501 0.5000 0.2508  6 O 2.11-2.12
Mg: 0.0000 0.7487 0.7487  6 O 2.11-2.13
O: 0.0000 0.2403 0.5000  5 Mg 2.03-2.12, 1 Zn 2.20
O: 0.0000 0.0000 0.7668  1 Al 1.97, 4 Mg 2.12-2.13
O: 0.5000 0.0000 0.7529  6 Mg 2.09-2.14
O: 0.0000 0.7668 0.0000  1 Al 1.97, 4 Mg 2.12-2.13
Mg: 0.2499 0.5000 0.7492  6 O 2.11-2.12
O: 0.2496 0.7506 0.7506  6 Mg 2.11-2.12
Mg: 0.5000 0.2506 0.2506  6 O 2.11-2.12
Mg: 0.7501 0.5000 0.7492  6 O 2.11-2.12
Mg: 0.7501 0.7492 0.5000  6 O 2.11-2.12
Mg: 0.0000 0.7487 0.2513  6 O 2.11-2.13
Mg: 0.7494 0.0000 0.7491  6 O 2.11-2.13
Mg: 0.2506 0.2509 0.0000  6 O 2.11-2.13
O: 0.7504 0.7506 0.7506  6 Mg 2.11-2.12
O: 0.7510 0.5000 0.0000  6 Mg 2.11-2.12
O: 0.2496 0.7506 0.2494  6 Mg 2.11-2.12
Mg: 0.2506 0.0000 0.7491  6 O 2.11-2.13
Mg: 0.2506 0.0000 0.2509  6 O 2.11-2.13
O: 0.7438 0.5000 0.5000  5 Mg 2.06-2.11, 1 Zn 2.17
O: 0.2562 0.5000 0.5000  5 Mg 2.06-2.11, 1 Zn 2.17
Mg: 0.5000 0.2506 0.7494  6 O 2.11-2.12
O: 0.7504 0.2494 0.2494  6 Mg 2.11-2.12
Mg: 0.0000 0.2513 0.2513  6 O 2.11-2.13
O: 0.5000 0.2482 0.5000  6 Mg 2.10-2.13
O: 0.2355 0.0000 0.0000  1 Al 1.99, 4 Mg 2.13
Mg: 0.5000 0.0000 0.5000  6 O 2.10-2.14
Mg: 0.7494 0.0000 0.2509  6 O 2.11-2.13
Mg: 0.0000 0.0000 0.5000  6 O 2.03-2.26
Mg: 0.2499 0.7492 0.5000  6 O 2.11-2.12
Mg: 0.7501 0.2508 0.5000  6 O 2.11-2.12
Mg: 0.2499 0.2508 0.5000  6 O 2.11-2.12
O: 0.2496 0.2494 0.7506  6 Mg 2.11-2.12